This record from Alexandria describes crystalline Ce5Te2Ir at its relaxed geometry. The functional is PBE.

Structure (POSCAR):
```
Ce5Te2Ir
1.0
5.688 0.000 0.000
-2.844 4.792 0.000
0.000 0.000 16.537
Te Ce Ir
4 10 2
Direct
0.230 0.459 0.938
0.770 0.541 0.438
0.230 0.459 0.562
0.770 0.541 0.062
0.565 0.131 0.598
0.097 0.193 0.124
0.748 0.496 0.250
0.903 0.807 0.876
0.097 0.193 0.376
0.252 0.504 0.750
0.903 0.807 0.624
0.435 0.869 0.402
0.435 0.869 0.098
0.565 0.131 0.902
0.302 0.604 0.250
0.698 0.396 0.750
```

Fermi-level density of states (states/eV/cell): 50.2


This record from Alexandria describes crystalline Ce2TeIr at its relaxed geometry. The functional is PBE.

Structure (POSCAR):
```
Ce2TeIr
1.0
-3.874 -1.164 -0.858
-0.694 -3.528 -2.042
-1.857 -5.327 5.647
Te Ce Ir
1 2 1
Direct
0.499 0.499 0.503
0.265 0.265 0.205
0.068 0.068 0.796
0.668 0.668 0.997
```

Fermi-level density of states (states/eV/cell): 11.1


This record from Alexandria describes crystalline Ce2TeIr at its relaxed geometry. The functional is PBE.

Structure (POSCAR):
```
Ce2TeIr
1.0
-1.301 -2.947 4.157
3.243 -2.358 -0.657
5.858 6.300 6.301
Ir Ce Te
2 4 2
Direct
0.201 0.608 0.228
0.701 0.108 0.988
0.201 0.108 0.032
0.201 0.108 0.429
0.701 0.608 0.184
0.701 0.608 0.787
0.201 0.108 0.731
0.701 0.608 0.485
```

Fermi-level density of states (states/eV/cell): 20.3


Calculated total energy (eV/atom), listed in the same order as above: -6.215 -6.966 -6.924
Calculated distance to the lowest polymorph of the same formula (meV/atom), listed in the same order as above: 257.9 47.7 90.0